A geometry-optimized CoTc2Te structure, computed with PBE.

Results
Uncorrected energy, Ry/atom: -0.5020
SG: I-42d, No. 122
Calculated volume, Å³/cell: 171.38

a = 5.531 Å, b = 5.531 Å, c = 6.832 Å
α = 66.12°, β = 66.12°, γ = 90.00°
Fractional coordinates of all 8 atoms:
Te 0.000 0.000 0.000
Te 0.750 0.250 0.500
Co 0.500 0.500 0.000
Co 0.250 0.750 0.500
Tc 0.185 0.625 0.250
Tc 0.875 0.815 0.750
Tc 0.375 0.435 0.750
Tc 0.565 0.125 0.250


A geometry-optimized LiBi4Rh structure, computed with PBE.

Results
Uncorrected energy, Ry/atom: -0.3166
SG: I4/mcm, No. 140
Calculated volume, Å³/cell: 304.26
Energy relative to the elements, eV/f.u.: -1.06

a = 6.819 Å, b = 6.819 Å, c = 8.129 Å
α = 114.80°, β = 114.80°, γ = 90.00°
Fractional coordinates of all 12 atoms:
Bi 0.468 0.968 0.272
Bi 0.196 0.696 0.728
Bi 0.032 0.196 0.728
Bi 0.804 0.304 0.272
Bi 0.532 0.032 0.728
Bi 0.968 0.804 0.272
Bi 0.696 0.532 0.728
Bi 0.304 0.468 0.272
Rh 0.750 0.750 0.500
Rh 0.250 0.250 0.500
Li 0.500 0.500 0.000
Li 0.000 0.000 0.000


A geometry-optimized Ho2Sc structure, computed with PBE.

Results
Uncorrected energy, Ry/atom: -0.3758
SG: P-3m1, No. 164
Calculated volume, Å³/cell: 86.11
Energy relative to the elements, eV/f.u.: 0.15
Distance to the lowest polymorph of the same formula, eV/atom: 0.005

a = 3.447 Å, b = 3.449 Å, c = 8.360 Å
α = 90.05°, β = 90.00°, γ = 119.98°
Fractional coordinates of all 3 atoms:
Ho 0.334 0.667 0.824
Ho 0.666 0.333 0.176
Sc 0.000 0.000 0.500


A geometry-optimized TbLuMnRh structure, computed with PBE.

Results
Uncorrected energy, Ry/atom: -0.4942
SG: F-43m, No. 216
Calculated volume, Å³/cell: 81.79
Energy relative to the elements, eV/f.u.: -1.22

a = 4.872 Å, b = 4.872 Å, c = 4.872 Å
α = 60.00°, β = 60.00°, γ = 60.00°
Site moments in Bohr magnetons follow the coordinates.
Fractional coordinates of all 4 atoms:
Tb 0.250 0.250 0.250  0.18
Mn 0.500 0.500 0.500  -3.30
Rh 0.000 0.000 0.000  -0.20
Lu 0.750 0.750 0.750  0.17


A geometry-optimized ZrBeSb2 structure, computed with PBE.

Results
Uncorrected energy, Ry/atom: -0.3805
SG: P4mm, No. 99
Calculated volume, Å³/cell: 88.34

a = 3.858 Å, b = 3.859 Å, c = 5.934 Å
α = 90.00°, β = 90.00°, γ = 90.00°
Fractional coordinates of all 4 atoms:
Zr 0.000 0.000 0.478
Be 0.500 0.500 0.760
Sb 0.000 0.000 0.942
Sb 0.500 0.500 0.320


A geometry-optimized Ca4Tb3AgS8 structure, computed with PBE.

Results
Uncorrected energy, Ry/atom: -0.4040
SG: R-3m, No. 166
Calculated volume, Å³/cell: 357.07

a = 7.949 Å, b = 7.977 Å, c = 7.949 Å
α = 119.88°, β = 120.00°, γ = 90.00°
Fractional coordinates of all 16 atoms:
S 0.251 0.746 0.995
S 0.252 0.255 0.503
S 0.748 0.745 0.497
S 0.257 0.254 0.005
S 0.749 0.254 0.497
S 0.743 0.746 0.995
S 0.749 0.254 0.005
S 0.251 0.746 0.503
Ca 0.500 0.000 0.000
Ca 0.000 0.000 0.500
Ca 0.000 0.000 0.000
Ca 0.500 0.000 0.500
Tb 0.500 0.500 0.000
Tb 0.500 0.500 0.500
Tb 0.000 0.500 0.500
Ag 0.000 0.500 0.000


A geometry-optimized B3SbMo structure, computed with PBE.

Results
Uncorrected energy, Ry/atom: -0.3193
SG: Pm-3m, No. 221
Calculated volume, Å³/cell: 80.25
Distance to the lowest polymorph of the same formula, eV/atom: 1.287

a = 4.313 Å, b = 4.313 Å, c = 4.313 Å
α = 90.00°, β = 90.00°, γ = 90.00°
Fractional coordinates of all 5 atoms:
B 0.500 0.000 0.000
B 0.000 0.000 0.500
B 0.000 0.500 0.000
Sb 0.000 0.000 0.000
Mo 0.500 0.500 0.500


A geometry-optimized Cs4NaU3S12 structure, computed with PBE.

Results
Uncorrected energy, Ry/atom: -0.4132
SG: Im-3m, No. 229
Calculated volume, Å³/cell: 592.06

a = 9.162 Å, b = 9.162 Å, c = 9.162 Å
α = 109.47°, β = 109.47°, γ = 109.47°
Fractional coordinates of all 20 atoms:
Na 0.000 0.000 0.000
S 0.271 0.000 0.271
S 0.000 0.271 0.271
S 0.500 0.750 0.250
S 0.729 0.000 0.729
S 0.271 0.271 0.000
S 0.750 0.500 0.250
S 0.500 0.250 0.750
S 0.250 0.500 0.750
S 0.250 0.750 0.500
S 0.729 0.729 0.000
S 0.750 0.250 0.500
S 0.000 0.729 0.729
Cs 0.000 0.000 0.500
Cs 0.000 0.500 0.000
Cs 0.500 0.500 0.500
Cs 0.500 0.000 0.000
U 0.000 0.500 0.500
U 0.500 0.500 0.000
U 0.500 0.000 0.500


What did the eighth record say?
A geometry-optimized Cs4NaU3S12 structure, computed with PBE.

Results
Uncorrected energy, Ry/atom: -0.4132
SG: Im-3m, No. 229
Calculated volume, Å³/cell: 592.06

a = 9.162 Å, b = 9.162 Å, c = 9.162 Å
α = 109.47°, β = 109.47°, γ = 109.47°
Fractional coordinates of all 20 atoms:
Na 0.000 0.000 0.000
S 0.271 0.000 0.271
S 0.000 0.271 0.271
S 0.500 0.750 0.250
S 0.729 0.000 0.729
S 0.271 0.271 0.000
S 0.750 0.500 0.250
S 0.500 0.250 0.750
S 0.250 0.500 0.750
S 0.250 0.750 0.500
S 0.729 0.729 0.000
S 0.750 0.250 0.500
S 0.000 0.729 0.729
Cs 0.000 0.000 0.500
Cs 0.000 0.500 0.000
Cs 0.500 0.500 0.500
Cs 0.500 0.000 0.000
U 0.000 0.500 0.500
U 0.500 0.500 0.000
U 0.500 0.000 0.500